Record 1
Material: AcLa8Mg2
Method: DFT, PBE-GGA
State: relaxed

Cell lengths 9.355, 9.355, 8.623 Å; angles 110.78, 110.78, 33.93 degrees
Atoms (fractional coordinates):
Ac 0.000 0.000 0.000
La 0.099 0.099 0.468
La 0.190 0.190 0.952
La 0.352 0.352 0.798
La 0.451 0.451 0.265
La 0.549 0.549 0.735
La 0.648 0.648 0.202
La 0.810 0.810 0.048
La 0.901 0.901 0.532
Mg 0.276 0.276 0.370
Mg 0.724 0.724 0.630

M_tot: 0.00 μB per cell
Formation enthalpy at 0 K: 0.00 eV/atom
SG: C2/m (12)

Record 2
Material: Ac15La4Mg
Method: DFT, PBE-GGA
State: relaxed

Cell lengths 5.540, 5.540, 27.659 Å; angles 90.00, 90.00, 90.00 degrees
Atoms (fractional coordinates):
Ac 0.000 0.000 0.000
Ac 0.000 0.000 0.197
Ac 0.000 0.000 0.399
Ac 0.000 0.000 0.601
Ac 0.000 0.000 0.803
Ac 0.000 0.500 0.098
Ac 0.000 0.500 0.298
Ac 0.000 0.500 0.500
Ac 0.000 0.500 0.702
Ac 0.000 0.500 0.902
Ac 0.500 0.000 0.098
Ac 0.500 0.000 0.298
Ac 0.500 0.000 0.500
Ac 0.500 0.000 0.702
Ac 0.500 0.000 0.902
La 0.500 0.500 0.197
La 0.500 0.500 0.399
La 0.500 0.500 0.601
La 0.500 0.500 0.803
Mg 0.500 0.500 0.000

M_tot: 0.00 μB per cell
Formation enthalpy at 0 K: 0.02 eV/atom
SG: P4/mmm (123)